--- P ---
First-principles (GGA+U) data for TeMoF2 after structural relaxation, as listed in Alexandria.

a b c (Å): 6.4387 6.4387 6.4387
angles (deg): 90.00 90.00 90.00
With the nearest neighbours (Å) after each atom.
Positions (direct):
Te: 0.0000 0.0000 0.0000  8 F 2.79
Te: 0.0000 0.5000 0.5000  8 F 2.79
Te: 0.5000 0.0000 0.5000  8 F 2.79
Te: 0.5000 0.5000 0.0000  8 F 2.79
Mo: 0.0000 0.0000 0.5000  8 F 2.79
Mo: 0.0000 0.5000 0.0000  8 F 2.79
Mo: 0.5000 0.0000 0.0000  8 F 2.79
Mo: 0.5000 0.5000 0.5000  8 F 2.79
F: 0.2500 0.2500 0.2500  4 Mo 2.79, 4 Te 2.79
F: 0.2500 0.2500 0.7500  4 Te 2.79, 4 Mo 2.79
F: 0.2500 0.7500 0.2500  4 Te 2.79, 4 Mo 2.79
F: 0.2500 0.7500 0.7500  4 Mo 2.79, 4 Te 2.79
F: 0.7500 0.2500 0.2500  4 Te 2.79, 4 Mo 2.79
F: 0.7500 0.2500 0.7500  4 Mo 2.79, 4 Te 2.79
F: 0.7500 0.7500 0.2500  4 Mo 2.79, 4 Te 2.79
F: 0.7500 0.7500 0.7500  4 Te 2.79, 4 Mo 2.79

Properties
V: 16.7 A^3/atom
ρ: 6.5 g/cm3
DOS at the Fermi energy: 11.4 states/eV/cell

=====

--- Q ---
First-principles (GGA+U) data for TeMoF2 after structural relaxation, as listed in Alexandria.

a b c (Å): 3.2142 3.2142 29.9645
angles (deg): 90.00 90.00 120.00
With the nearest neighbours (Å) after each atom.
Positions (direct):
Te: 0.0000 0.0000 0.0000  6 Te 3.21
Te: 0.3333 0.6667 0.6667  6 Te 3.21
Te: 0.6667 0.3333 0.3333  6 Te 3.21
Mo: 0.0000 0.0000 0.5000  6 F 2.22
Mo: 0.3333 0.6667 0.1667  6 F 2.22
Mo: 0.6667 0.3333 0.8333  6 F 2.22
F: 0.0000 0.0000 0.1259  3 Mo 2.22
F: 0.0000 0.0000 0.8741  3 Mo 2.22
F: 0.3333 0.6667 0.5407  3 Mo 2.22
F: 0.3333 0.6667 0.7926  3 Mo 2.22
F: 0.6667 0.3333 0.2074  3 Mo 2.22
F: 0.6667 0.3333 0.4593  3 Mo 2.22

Properties
V: 22.3 A^3/atom
ρ: 4.9 g/cm3
DOS at the Fermi energy: 5.8 states/eV/cell

=====

Q ends up most stable, edging out the next structure by 0.495 eV/atom.

=====

--- P ---
First-principles (GGA+U) data for Ti2MoF after structural relaxation, as listed in Alexandria.

a b c (Å): 6.2354 6.2354 6.2354
angles (deg): 90.00 90.00 90.00
With the nearest neighbours (Å) after each atom.
Positions (direct):
Ti: 0.2500 0.2500 0.2500  4 F 2.70, 4 Mo 2.70
Ti: 0.2500 0.2500 0.7500  4 F 2.70, 4 Mo 2.70
Ti: 0.2500 0.7500 0.2500  4 F 2.70, 4 Mo 2.70
Ti: 0.2500 0.7500 0.7500  4 F 2.70, 4 Mo 2.70
Ti: 0.7500 0.2500 0.2500  4 F 2.70, 4 Mo 2.70
Ti: 0.7500 0.2500 0.7500  4 F 2.70, 4 Mo 2.70
Ti: 0.7500 0.7500 0.2500  4 F 2.70, 4 Mo 2.70
Ti: 0.7500 0.7500 0.7500  4 Mo 2.70, 4 F 2.70
Mo: 0.0000 0.0000 0.0000  8 Ti 2.70
Mo: 0.0000 0.5000 0.5000  8 Ti 2.70
Mo: 0.5000 0.0000 0.5000  8 Ti 2.70
Mo: 0.5000 0.5000 0.0000  8 Ti 2.70
F: 0.0000 0.0000 0.5000  8 Ti 2.70
F: 0.0000 0.5000 0.0000  8 Ti 2.70
F: 0.5000 0.0000 0.0000  8 Ti 2.70
F: 0.5000 0.5000 0.5000  8 Ti 2.70

Properties
V: 15.2 A^3/atom
ρ: 5.8 g/cm3
DOS at the Fermi energy: 19.4 states/eV/cell

=====

--- Q ---
First-principles (GGA+U) data for Ti2MoF after structural relaxation, as listed in Alexandria.

a b c (Å): 6.5338 6.5338 6.0089
angles (deg): 90.00 90.00 90.00
With the nearest neighbours (Å) after each atom.
Positions (direct):
Ti: 0.1645 0.2500 0.1250  2 F 2.09
Ti: 0.2500 0.6645 0.3750  2 F 2.09
Ti: 0.2500 0.8355 0.8750  2 F 2.09
Ti: 0.3355 0.2500 0.6250  2 F 2.09
Ti: 0.6645 0.7500 0.6250  2 F 2.09
Ti: 0.7500 0.1645 0.8750  2 F 2.09
Ti: 0.7500 0.3355 0.3750  2 F 2.09
Ti: 0.8355 0.7500 0.1250  2 F 2.09
Mo: 0.0000 0.0000 0.5000  8 Ti 2.84-2.98, 2 F 3.00
Mo: 0.0000 0.5000 0.7500  8 Ti 2.84-2.98, 2 F 3.00
Mo: 0.5000 0.0000 0.2500  8 Ti 2.84-2.98, 2 F 3.00
Mo: 0.5000 0.5000 0.0000  8 Ti 2.84-2.98, 2 F 3.00
F: 0.0000 0.0000 0.0000  4 Ti 2.09
F: 0.0000 0.5000 0.2500  4 Ti 2.09
F: 0.5000 0.0000 0.7500  4 Ti 2.09
F: 0.5000 0.5000 0.5000  4 Ti 2.09

Properties
V: 16.0 A^3/atom
ρ: 5.5 g/cm3
DOS at the Fermi energy: 19.7 states/eV/cell

=====

Q ends up most stable, edging out the next structure by 0.408 eV/atom.

=====

--- P ---
First-principles (GGA+U) data for TiMoF2 after structural relaxation, as listed in Alexandria.

a b c (Å): 3.0538 3.0538 24.4692
angles (deg): 90.00 90.00 120.00
With the nearest neighbours (Å) after each atom.
Positions (direct):
Ti: 0.0000 0.0000 0.0000  2 F 1.89
Ti: 0.3333 0.6667 0.6667  2 F 1.89
Ti: 0.6667 0.3333 0.3333  2 F 1.89
Mo: 0.0000 0.0000 0.5000  6 F 2.81, 6 Mo 3.05
Mo: 0.3333 0.6667 0.1667  6 F 2.81, 6 Mo 3.05
Mo: 0.6667 0.3333 0.8333  6 F 2.81, 6 Mo 3.05
F: 0.0000 0.0000 0.0774  1 Ti 1.89
F: 0.0000 0.0000 0.9226  1 Ti 1.89
F: 0.3333 0.6667 0.5892  1 Ti 1.89
F: 0.3333 0.6667 0.7441  1 Ti 1.89
F: 0.6667 0.3333 0.2559  1 Ti 1.89
F: 0.6667 0.3333 0.4108  1 Ti 1.89

Properties
V: 16.5 A^3/atom
ρ: 4.6 g/cm3
DOS at the Fermi energy: 9.2 states/eV/cell

=====

--- Q ---
First-principles (GGA+U) data for TiMoF2 after structural relaxation, as listed in Alexandria.

a b c (Å): 2.7433 2.7433 22.8606
angles (deg): 90.00 90.00 120.00
With the nearest neighbours (Å) after each atom.
Positions (direct):
Ti: 0.0000 0.0000 0.0000  6 F 2.19
Ti: 0.3333 0.6667 0.6667  6 F 2.19
Ti: 0.6667 0.3333 0.3333  6 F 2.19
Mo: 0.0000 0.0000 0.5000  2 F 2.30
Mo: 0.3333 0.6667 0.1667  2 F 2.30
Mo: 0.6667 0.3333 0.8333  2 F 2.30
F: 0.0000 0.0000 0.3995  3 Ti 2.19, 1 Mo 2.30
F: 0.0000 0.0000 0.6006  3 Ti 2.19, 1 Mo 2.30
F: 0.3333 0.6667 0.0661  3 Ti 2.19, 1 Mo 2.30
F: 0.3333 0.6667 0.2672  3 Ti 2.19, 1 Mo 2.30
F: 0.6667 0.3333 0.7328  3 Ti 2.19, 1 Mo 2.30
F: 0.6667 0.3333 0.9339  3 Ti 2.19, 1 Mo 2.30

Properties
V: 12.4 A^3/atom
ρ: 6.1 g/cm3
DOS at the Fermi energy: 9.1 states/eV/cell

=====

--- R ---
First-principles (GGA+U) data for TiMoF2 after structural relaxation, as listed in Alexandria.

a b c (Å): 6.3288 6.3288 6.3288
angles (deg): 90.00 90.00 90.00
With the nearest neighbours (Å) after each atom.
Positions (direct):
Ti: 0.0000 0.0000 0.0000  8 F 2.74
Ti: 0.0000 0.5000 0.5000  8 F 2.74
Ti: 0.5000 0.0000 0.5000  8 F 2.74
Ti: 0.5000 0.5000 0.0000  8 F 2.74
Mo: 0.0000 0.0000 0.5000  8 F 2.74
Mo: 0.0000 0.5000 0.0000  8 F 2.74
Mo: 0.5000 0.0000 0.0000  8 F 2.74
Mo: 0.5000 0.5000 0.5000  8 F 2.74
F: 0.2500 0.2500 0.2500  4 Mo 2.74, 4 Ti 2.74
F: 0.2500 0.2500 0.7500  4 Mo 2.74, 4 Ti 2.74
F: 0.2500 0.7500 0.2500  4 Mo 2.74, 4 Ti 2.74
F: 0.2500 0.7500 0.7500  4 Mo 2.74, 4 Ti 2.74
F: 0.7500 0.2500 0.2500  4 Mo 2.74, 4 Ti 2.74
F: 0.7500 0.2500 0.7500  4 Mo 2.74, 4 Ti 2.74
F: 0.7500 0.7500 0.2500  4 Mo 2.74, 4 Ti 2.74
F: 0.7500 0.7500 0.7500  4 Mo 2.74, 4 Ti 2.74

Properties
V: 15.8 A^3/atom
ρ: 4.8 g/cm3
DOS at the Fermi energy: 21.8 states/eV/cell

=====

Q ends up most stable, edging out the next structure by 0.123 eV/atom.

=====

--- P ---
First-principles (GGA+U) data for TiMo2F after structural relaxation, as listed in Alexandria.

a b c (Å): 6.5480 6.5480 6.5480
angles (deg): 90.00 90.00 90.00
With the nearest neighbours (Å) after each atom.
Positions (direct):
Ti: 0.0000 0.0000 0.0000  8 Mo 2.84
Ti: 0.0000 0.5000 0.5000  8 Mo 2.84
Ti: 0.5000 0.0000 0.5000  8 Mo 2.84
Ti: 0.5000 0.5000 0.0000  8 Mo 2.84
Mo: 0.2500 0.2500 0.2500  4 F 2.84, 4 Ti 2.84
Mo: 0.2500 0.2500 0.7500  4 F 2.84, 4 Ti 2.84
Mo: 0.2500 0.7500 0.2500  4 F 2.84, 4 Ti 2.84
Mo: 0.2500 0.7500 0.7500  4 F 2.84, 4 Ti 2.84
Mo: 0.7500 0.2500 0.2500  4 F 2.84, 4 Ti 2.84
Mo: 0.7500 0.2500 0.7500  4 F 2.84, 4 Ti 2.84
Mo: 0.7500 0.7500 0.2500  4 F 2.84, 4 Ti 2.84
Mo: 0.7500 0.7500 0.7500  4 F 2.84, 4 Ti 2.84
F: 0.0000 0.0000 0.5000  8 Mo 2.84
F: 0.0000 0.5000 0.0000  8 Mo 2.84
F: 0.5000 0.0000 0.0000  8 Mo 2.84
F: 0.5000 0.5000 0.5000  8 Mo 2.84

Properties
V: 17.5 A^3/atom
ρ: 6.1 g/cm3
DOS at the Fermi energy: 43.9 states/eV/cell

=====

--- Q ---
First-principles (GGA+U) data for TiMo2F after structural relaxation, as listed in Alexandria.

a b c (Å): 7.5579 7.5579 4.4434
angles (deg): 90.00 90.00 90.00
With the nearest neighbours (Å) after each atom.
Positions (direct):
Ti: 0.0000 0.0000 0.0000  2 F 2.22
Ti: 0.0000 0.5000 0.2500  2 F 2.22
Ti: 0.5000 0.0000 0.7500  2 F 2.22
Ti: 0.5000 0.5000 0.5000  2 F 2.22
Mo: 0.1642 0.2500 0.6250  2 F 2.33, 2 Mo 2.57
Mo: 0.2500 0.6642 0.8750  2 F 2.33, 2 Mo 2.57
Mo: 0.2500 0.8358 0.3750  2 F 2.33, 2 Mo 2.57
Mo: 0.3358 0.2500 0.1250  2 F 2.33, 2 Mo 2.57
Mo: 0.6642 0.7500 0.1250  2 F 2.33, 2 Mo 2.57
Mo: 0.7500 0.1642 0.3750  2 F 2.33, 2 Mo 2.57
Mo: 0.7500 0.3358 0.8750  2 F 2.33, 2 Mo 2.57
Mo: 0.8358 0.7500 0.6250  2 F 2.33, 2 Mo 2.57
F: 0.0000 0.0000 0.5000  2 Ti 2.22, 4 Mo 2.33
F: 0.0000 0.5000 0.7500  2 Ti 2.22, 4 Mo 2.33
F: 0.5000 0.0000 0.2500  2 Ti 2.22, 4 Mo 2.33
F: 0.5000 0.5000 0.0000  2 Ti 2.22, 4 Mo 2.33

Properties
V: 15.9 A^3/atom
ρ: 6.8 g/cm3
DOS at the Fermi energy: 6.3 states/eV/cell

=====

Q ends up most stable, edging out the next structure by 0.193 eV/atom.

=====

--- P ---
First-principles (GGA+U) data for TiMo3F after structural relaxation, as listed in Alexandria.

a b c (Å): 4.3169 4.3169 4.3169
angles (deg): 90.00 90.00 90.00
With the nearest neighbours (Å) after each atom.
Positions (direct):
Ti: 0.0000 0.0000 0.0000  12 Mo 3.05
Mo: 0.0000 0.5000 0.5000  2 F 2.16
Mo: 0.5000 0.0000 0.5000  2 F 2.16
Mo: 0.5000 0.5000 0.0000  2 F 2.16
F: 0.5000 0.5000 0.5000  6 Mo 2.16

Properties
V: 16.1 A^3/atom
ρ: 7.3 g/cm3
DOS at the Fermi energy: 4.1 states/eV/cell

=====

--- Q ---
First-principles (GGA+U) data for TiMo3F after structural relaxation, as listed in Alexandria.

a b c (Å): 4.9628 4.9628 4.9628
angles (deg): 90.00 90.00 90.00
With the nearest neighbours (Å) after each atom.
Positions (direct):
Ti: 0.0000 0.0000 0.0000  6 Mo 2.48
Mo: 0.0000 0.0000 0.5000  2 Ti 2.48
Mo: 0.0000 0.5000 0.0000  2 Ti 2.48
Mo: 0.5000 0.0000 0.0000  2 Ti 2.48
F: 0.5000 0.5000 0.5000  12 Mo 3.51

Properties
V: 24.4 A^3/atom
ρ: 4.8 g/cm3
DOS at the Fermi energy: 3.1 states/eV/cell

=====

P ends up most stable, edging out the next structure by 0.658 eV/atom.

=====

--- P ---
First-principles (GGA+U) data for TlMoF6 after structural relaxation, as listed in Alexandria.

a b c (Å): 7.0327 7.8480 5.3553
angles (deg): 90.00 100.99 90.00
With the nearest neighbours (Å) after each atom.
Positions (direct):
Tl: 0.0000 0.0000 0.0000  10 F 3.00-3.26
Tl: 0.5000 0.5000 0.0000  10 F 3.00-3.26
Mo: 0.0000 0.5000 0.5000  6 F 1.91-1.94
Mo: 0.5000 0.0000 0.5000  6 F 1.91-1.94
F: 0.0864 0.3262 0.7533  1 Mo 1.94
F: 0.0864 0.6738 0.7533  1 Mo 1.94
F: 0.2466 0.5000 0.4008  1 Mo 1.91
F: 0.2534 0.0000 0.5992  1 Mo 1.91
F: 0.4136 0.1738 0.2467  1 Mo 1.94
F: 0.4136 0.8262 0.2467  1 Mo 1.94
F: 0.5864 0.1738 0.7533  1 Mo 1.94
F: 0.5864 0.8262 0.7533  1 Mo 1.94
F: 0.7466 0.0000 0.4008  1 Mo 1.91
F: 0.7534 0.5000 0.5992  1 Mo 1.91
F: 0.9136 0.3262 0.2467  1 Mo 1.94
F: 0.9136 0.6738 0.2467  1 Mo 1.94

Properties
V: 18.1 A^3/atom
ρ: 4.7 g/cm3
DOS at the Fermi energy: 0.0 states/eV/cell

=====

--- Q ---
First-principles (GGA+U) data for TlMoF6 after structural relaxation, as listed in Alexandria.

a b c (Å): 6.2443 6.2443 6.2443
angles (deg): 53.80 53.80 53.80
With the nearest neighbours (Å) after each atom.
Positions (direct):
Tl: 0.0000 0.0000 0.0000  12 F 3.21
Mo: 0.5000 0.5000 0.5000  6 F 1.93
F: 0.1111 0.5872 0.5872  1 Mo 1.93
F: 0.4128 0.4128 0.8889  1 Mo 1.93
F: 0.4128 0.8889 0.4128  1 Mo 1.93
F: 0.5872 0.1111 0.5872  1 Mo 1.93
F: 0.5872 0.5872 0.1111  1 Mo 1.93
F: 0.8889 0.4128 0.4128  1 Mo 1.93

Properties
V: 18.4 A^3/atom
ρ: 4.7 g/cm3
DOS at the Fermi energy: 6.6 states/eV/cell

=====

P ends up most stable, edging out the next structure by 0.091 eV/atom.